LiHfRh GGA-PBE relaxed; space-group type = I4mm (107)
1.0
-0.824 -3.178 0.712
3.246 -0.861 -0.088
-0.866 2.883 3.940
Hf Rh Li
1 1 1
Cartesian
1.282 -1.843 1.184 Hf
1.524 -1.236 4.173 Rh
0.203 0.507 2.497 Li


LiHfRh3 GGA-PBE relaxed; space-group type = Pm-3m (221)
1.0
-2.688 2.293 -2.216
-2.607 -3.249 -0.201
-1.837 1.255 3.528
Rh Hf Li
3 1 1
Cartesian
-1.303 -1.625 -0.100 Rh
-0.918 0.628 1.764 Rh
-1.344 1.147 -1.108 Rh
-3.566 0.150 0.556 Hf
0.000 0.000 0.000 Li


Li2HfRh GGA-PBE relaxed; space-group type = Fm-3m (225)
1.0
0.000 3.067 3.067
3.067 0.000 3.067
3.067 3.067 0.000
Rh Hf Li
1 1 2
Cartesian
0.000 0.000 0.000 Rh
3.067 3.067 3.067 Hf
1.534 1.534 1.534 Li
4.601 4.601 4.601 Li


Li2HfRh GGA-PBE relaxed; space-group type = I-42d (122)
1.0
-3.262 1.661 -0.420
-1.553 -2.484 2.234
-0.380 5.624 9.026
Rh Hf Li
2 2 4
Cartesian
-2.407 -0.411 0.907 Rh
-2.170 1.364 6.084 Rh
0.000 0.000 0.000 Hf
-3.024 3.437 4.757 Hf
-2.216 2.077 2.288 Li
-1.585 0.118 3.586 Li
-2.144 3.824 7.527 Li
-4.444 3.583 8.280 Li


LiHf2Rh2 GGA-PBE relaxed; space-group type = I4/mmm (139)
1.0
4.409 0.000 0.000
0.000 4.409 0.000
2.204 2.204 5.454
Rh Hf Li
2 2 1
Cartesian
2.204 2.204 1.277 Rh
4.409 4.409 4.177 Rh
4.409 2.204 2.727 Hf
2.204 4.409 2.727 Hf
0.000 0.000 0.000 Li


LiHfRh GGA-PBE relaxed; space-group type = Immm (71)
1.0
-2.333 -0.110 3.146
-3.988 -0.744 -2.983
3.901 -4.987 0.279
Rh Li Hf
2 2 2
Cartesian
-0.611 -4.112 1.843 Rh
-1.808 -1.728 -1.401 Rh
-4.145 -0.611 -0.655 Li
-2.176 -0.243 0.818 Li
0.323 -2.360 0.157 Hf
-2.742 -3.481 0.285 Hf


LiHf5Rh6 GGA-PBE relaxed; space-group type = C2/m (12)
1.0
0.714 -0.766 -4.489
4.367 -5.348 3.978
-7.886 0.460 1.040
Rh Hf Li
6 5 1
Cartesian
-2.797 -0.448 -0.365 Rh
-4.177 -3.229 -0.106 Rh
-0.364 -1.837 -2.114 Rh
-2.442 -3.816 2.642 Rh
1.371 -2.424 0.634 Rh
-0.009 -5.205 0.894 Rh
-5.586 -0.844 -0.739 Hf
-3.802 -1.476 2.019 Hf
-1.403 -2.827 0.264 Hf
0.282 -3.412 2.999 Hf
2.780 -4.809 1.267 Hf
0.000 0.000 0.000 Li


LiHfRh2 GGA-PBE relaxed; space-group type = Fm-3m (225)
1.0
0.265 -1.002 4.282
0.531 3.199 2.982
-3.305 1.050 2.716
Rh Hf Li
2 1 1
Cartesian
-0.627 0.811 2.495 Rh
-1.882 2.434 7.485 Rh
-1.255 1.623 4.990 Hf
0.000 0.000 0.000 Li


Number 1: ΔH_f (0 K) -1.2 eV per formula unit. Number 2: ΔH_f (0 K) -0.7 eV per formula unit. Number 3: ΔH_f (0 K) 0.1 eV per formula unit. Number 4: ΔH_f (0 K) -0.6 eV per formula unit. Number 5: ΔH_f (0 K) -1.9 eV per formula unit. Number 6: ΔH_f (0 K) -1.4 eV per formula unit. Number 7: ΔH_f (0 K) -10.2 eV per formula unit. Number 8: ΔH_f (0 K) -2.9 eV per formula unit.